Record 1
DFT (PBE-GGA) results for crystalline Ni8PtRh5 at its relaxed geometry.

Cell lengths 6.2502, 6.2502, 6.2502 Å; angles 109.32, 109.77, 109.32 degrees
Last column: nearest neighbours and their distance in Å.
Positions (direct):
Ni (0.1340, 0.7000, 0.0729)  5 Rh 2.36-2.63, 1 Pt 2.47, 1 Ni 2.61
Ni (0.3730, 0.3000, 0.4340)  5 Rh 2.36-2.63, 1 Pt 2.47, 1 Ni 2.61
Ni (0.6474, 0.4052, 0.9281)  4 Ni 2.44-2.69, 5 Rh 2.58-2.69, 1 Pt 2.70
Ni (0.5229, 0.5948, 0.2422)  4 Ni 2.44-2.69, 5 Rh 2.58-2.69, 1 Pt 2.70
Ni (0.0719, 0.7193, 0.4771)  4 Ni 2.44-2.69, 5 Rh 2.58-2.69, 1 Pt 2.70
Ni (0.5660, 0.9389, 0.8660)  5 Rh 2.36-2.63, 1 Pt 2.47, 1 Ni 2.61
Ni (0.9271, 0.0611, 0.6270)  5 Rh 2.36-2.63, 1 Pt 2.47, 1 Ni 2.61
Ni (0.7578, 0.2807, 0.3526)  4 Ni 2.44-2.69, 5 Rh 2.58-2.69, 1 Pt 2.70
Rh (0.2894, 0.0877, 0.9790)  8 Ni 2.41-2.69, 2 Rh 2.67
Rh (0.0210, 0.3104, 0.1088)  8 Ni 2.41-2.69, 2 Rh 2.67
Rh (0.5000, 0.0000, 0.5000)  8 Ni 2.36-2.59
Rh (0.7984, 0.6896, 0.7106)  8 Ni 2.41-2.69, 2 Rh 2.67
Rh (0.8912, 0.9123, 0.2016)  8 Ni 2.41-2.69, 2 Rh 2.67
Pt (0.2500, 0.5000, 0.7500)  8 Ni 2.47-2.70

Computed properties:
Space group ... I-4 (82)
Energy of formation from the pure elements ... 0.2750 eV/atom
Crystal system ... tetragonal

Record 2
DFT (PBE-GGA) results for crystalline NdHoEr3Sc at its relaxed geometry.

Cell lengths 4.9467, 7.8119, 9.9224 Å; angles 90.00, 90.00, 108.46 degrees
Last column: nearest neighbours and their distance in Å.
Positions (direct):
Sc (0.8315, 0.6629, 0.7500)  8 Er 3.44-3.50, 2 Nd 3.49, 2 Ho 3.52
Sc (0.1685, 0.3371, 0.2500)  8 Er 3.44-3.50, 2 Nd 3.49, 2 Ho 3.52
Er (0.6682, 0.3364, 0.0000)  5 Er 3.45-3.50, 3 Sc 3.46-3.50, 2 Nd 3.49-3.54, 2 Ho 3.51
Er (0.3318, 0.6636, 0.5000)  5 Er 3.45-3.50, 3 Sc 3.46-3.50, 2 Nd 3.49-3.54, 2 Ho 3.51
Er (0.1699, 0.3398, 0.7500)  2 Sc 3.44, 6 Er 3.45-3.50, 2 Ho 3.53, 2 Nd 3.55
Er (0.3318, 0.6636, 0.0000)  5 Er 3.45-3.50, 3 Sc 3.46-3.50, 2 Nd 3.49-3.54, 2 Ho 3.51
Er (0.6682, 0.3364, 0.5000)  5 Er 3.45-3.50, 3 Sc 3.46-3.50, 2 Nd 3.49-3.54, 2 Ho 3.51
Er (0.8301, 0.6602, 0.2500)  2 Sc 3.44, 6 Er 3.45-3.50, 2 Ho 3.53, 2 Nd 3.55
Nd (0.5024, 0.0047, 0.2500)  2 Sc 3.49, 6 Er 3.49-3.55, 4 Ho 3.50
Nd (0.4976, 0.9953, 0.7500)  2 Sc 3.49, 6 Er 3.49-3.55, 4 Ho 3.50
Ho (0.0000, 0.0000, 0.0000)  4 Nd 3.50, 6 Er 3.51-3.53, 2 Sc 3.52
Ho (0.0000, 0.0000, 0.5000)  4 Nd 3.50, 6 Er 3.51-3.53, 2 Sc 3.52

Computed properties:
Space group ... Cmcm (63)
Energy of formation from the pure elements ... 0.0398 eV/atom
Crystal system ... orthorhombic

Record 3
DFT (PBE-GGA) results for crystalline NpCdGaAg at its relaxed geometry.

Cell lengths 4.9509, 4.9509, 4.9509 Å; angles 60.00, 60.00, 60.00 degrees
Last column: nearest neighbours and their distance in Å.
Positions (direct):
Cd (0.0000, 0.0000, 0.0000)  4 Ag 3.03, 4 Ga 3.03
Ag (0.2500, 0.2500, 0.2500)  4 Cd 3.03, 4 Np 3.03
Np (0.5000, 0.5000, 0.5000)  4 Ga 3.03, 4 Ag 3.03
Ga (0.7500, 0.7500, 0.7500)  4 Cd 3.03, 4 Np 3.03

Computed properties:
Space group ... F-43m (216)
Energy of formation from the pure elements ... 0.1065 eV/atom
Crystal system ... cubic

Record 4
DFT (PBE-GGA) results for crystalline ScSi2As at its relaxed geometry.

Cell lengths 3.8336, 3.5992, 5.8965 Å; angles 69.63, 90.00, 90.00 degrees
Last column: nearest neighbours and their distance in Å.
Positions (direct):
Si (0.5000, 0.1159, 0.2221)  2 Si 2.34
Si (0.0000, 0.1593, 0.9873)  2 Si 2.34, 1 As 2.36
Sc (0.5000, 0.8112, 0.7310)  4 As 2.78-2.81, 6 Si 2.81-3.10
As (0.0000, 0.4136, 0.5596)  1 Si 2.36

Computed properties:
Space group ... Pm (6)
Formation energy (no corrections) ... -303 meV/atom
Crystal system ... monoclinic

Record 5
DFT (PBE-GGA) results for crystalline Zn2RhBr at its relaxed geometry.

Cell lengths 4.5398, 4.5398, 6.8502 Å; angles 109.53, 109.53, 41.28 degrees
Last column: nearest neighbours and their distance in Å.
Positions (direct):
Br (0.4340, 0.4340, 0.5200)  1 Zn 2.46, 1 Rh 2.54
Zn (0.0301, 0.0301, 0.0309)  3 Rh 2.46-2.52, 1 Zn 2.67
Zn (0.6979, 0.6979, 0.8257)  1 Br 2.46, 2 Rh 2.53, 1 Zn 2.67
Rh (0.3380, 0.3380, 0.1234)  5 Zn 2.46-2.53, 1 Br 2.54

Computed properties:
Space group ... Cm (8)
Energy above the most stable polymorph in this dataset ... 0.110 eV per atom
Formation energy (no corrections) ... -100 meV/atom
Crystal system ... monoclinic

Record 6
DFT (PBE-GGA) results for crystalline Pm2Dy3Tl7 at its relaxed geometry.

Cell lengths 5.4299, 5.3085, 13.1530 Å; angles 101.64, 90.00, 90.00 degrees
Last column: nearest neighbours and their distance in Å.
Positions (direct):
Tl (0.5000, 0.0787, 0.1573)  4 Dy 3.24-3.34, 2 Pm 3.29, 2 Tl 3.39
Tl (0.0000, 0.5732, 0.1465)  2 Tl 3.26, 4 Dy 3.31-3.37, 2 Pm 3.32
Tl (0.0000, 0.4268, 0.8535)  2 Tl 3.26, 4 Dy 3.31-3.37, 2 Pm 3.32
Tl (0.5000, 0.9213, 0.8427)  4 Dy 3.24-3.34, 2 Pm 3.29, 2 Tl 3.39
Tl (0.0000, 0.7203, 0.4406)  2 Tl 3.06, 3 Pm 3.20-3.32, 2 Dy 3.26
Tl (0.0000, 0.2797, 0.5594)  2 Tl 3.06, 3 Pm 3.20-3.32, 2 Dy 3.26
Tl (0.0000, 0.0000, 0.0000)  8 Tl 3.26-3.39
Dy (0.5000, 0.5000, 0.0000)  8 Tl 3.31-3.34
Dy (0.5000, 0.3495, 0.6989)  6 Tl 3.24-3.37
Dy (0.5000, 0.6505, 0.3011)  6 Tl 3.24-3.37
Pm (0.0000, 0.1507, 0.3015)  7 Tl 3.20-3.32
Pm (0.0000, 0.8493, 0.6985)  7 Tl 3.20-3.32

Computed properties:
Space group ... Cmmm (65)
Energy of formation from the pure elements ... -0.1028 eV/atom
Crystal system ... orthorhombic

Record 7
DFT (PBE-GGA) results for crystalline Pm2GeS6 at its relaxed geometry.

Cell lengths 6.6441, 7.4290, 8.3067 Å; angles 90.00, 92.97, 90.00 degrees
Last column: nearest neighbours and their distance in Å.
Positions (direct):
S (0.6423, 0.4611, 0.2588)  1 Ge 2.32
S (0.8055, 0.6674, 0.9384)  1 Ge 2.46
S (0.1669, 0.2937, 0.4432)  1 Ge 2.50
S (0.1945, 0.3326, 0.0616)  1 Ge 2.46
S (0.6945, 0.1674, 0.5616)  1 Ge 2.46
S (0.3055, 0.8326, 0.4384)  1 Ge 2.46
S (0.3577, 0.5389, 0.7412)  1 Ge 2.32
S (0.1423, 0.0389, 0.7588)  1 Ge 2.32
S (0.8577, 0.9611, 0.2412)  1 Ge 2.32
S (0.8331, 0.7063, 0.5568)  1 Ge 2.50
S (0.6669, 0.2063, 0.9432)  1 Ge 2.50
S (0.3331, 0.7937, 0.0568)  1 Ge 2.50
Pm (0.5348, 0.8880, 0.7477)  8 S 2.83-3.04
Pm (0.9652, 0.3880, 0.7523)  8 S 2.83-3.04
Pm (0.4652, 0.1120, 0.2523)  8 S 2.83-3.04
Pm (0.0348, 0.6120, 0.2477)  8 S 2.83-3.04
Ge (0.0000, 0.0000, 0.5000)  6 S 2.32-2.50
Ge (0.5000, 0.5000, 0.0000)  6 S 2.32-2.50

Computed properties:
Space group ... P2_1/c (14)
Formation energy (no corrections) ... -991 meV/atom
Crystal system ... monoclinic

Record 8
DFT (PBE-GGA) results for crystalline KLi2Ir at its relaxed geometry.

Cell lengths 4.4169, 2.6791, 7.8627 Å; angles 80.85, 90.00, 90.00 degrees
Last column: nearest neighbours and their distance in Å.
Positions (direct):
Ir (0.0000, 0.4921, 0.3942)  6 Li 2.59-2.68, 2 Ir 2.68
K (0.5000, 0.8491, 0.6930)  2 K 2.68
Li (0.0000, 0.1225, 0.1088)  2 Ir 2.59, 4 Li 2.68
Li (0.5000, 0.0363, 0.3040)  4 Ir 2.67-2.68, 4 Li 2.68

Computed properties:
Space group ... Pm (6)
Energy above the most stable polymorph in this dataset ... 0.000 eV per atom
Energy of formation from the pure elements ... 0.2196 eV/atom
Crystal system ... monoclinic

Number 1: calculated total energy -6.09 eV/atom. Number 2: calculated total energy -4.85 eV/atom. Number 3: calculated total energy -4.83 eV/atom. Number 4: calculated total energy -5.76 eV/atom. Number 5: calculated total energy -2.99 eV/atom. Number 6: calculated total energy -3.43 eV/atom. Number 7: calculated total energy -5.31 eV/atom. Number 8: calculated total energy -3.23 eV/atom.